## V2CdGaF (PBE+U)

Data for V2CdGaF after structural relaxation.

```
5
Lattice="-3.7209 -3.4671 1.8620 3.2107 -2.5352 1.6954 -0.2614 2.7746 4.6439" Properties=species:S:1:pos:R:3 pbc="T T T"
F 1.6054 -1.2676 0.8477
V -0.1307 1.3873 2.3220
V -1.8605 -1.7335 0.9310
Ga -0.3858 -1.6139 4.1007
Cd 0.0000 0.0000 0.0000
```

Summary:
- Final energy: -3.317 eV per atom
- Symmetry: P4/mmm